Entry 1:
! Pu4Pd3Ru PBE relaxed; values from VASP
! **E_tot**: -169.477 eV per cell
! **Space group**: Im-3m, No. 229
&SYSTEM
  ibrav = 0, nat = 16, ntyp = 3
/
ATOMIC_SPECIES
Pu 244.00 Pu.upf
Pd 106.42 Pd.upf
Ru 101.07 Ru.upf
CELL_PARAMETERS angstrom
6.9589 0.0000 0.0000
0.0000 6.9589 0.0000
0.0000 0.0000 6.9589
ATOMIC_POSITIONS angstrom
Pu 1.7397 1.7397 1.7397
Pu 1.7397 1.7397 5.2192
Pu 1.7397 5.2192 1.7397
Pu 1.7397 5.2192 5.2192
Pu 5.2192 1.7397 1.7397
Pu 5.2192 1.7397 5.2192
Pu 5.2192 5.2192 1.7397
Pu 5.2192 5.2192 5.2192
Pd 0.0000 0.0000 3.4795
Pd 0.0000 3.4795 0.0000
Pd 0.0000 3.4795 3.4795
Pd 3.4795 0.0000 0.0000
Pd 3.4795 0.0000 3.4795
Pd 3.4795 3.4795 0.0000
Ru 0.0000 0.0000 0.0000
Ru 3.4795 3.4795 3.4795

=====

Entry 2:
! Zr2PaGa2Ru5 PBE relaxed; values from VASP
! **E_tot**: -168.017 eV per cell
! **Space group**: P4/mbm, No. 127
&SYSTEM
  ibrav = 0, nat = 20, ntyp = 4
/
ATOMIC_SPECIES
Zr 91.22 Zr.upf
Pa 231.04 Pa.upf
Ga 69.72 Ga.upf
Ru 101.07 Ru.upf
CELL_PARAMETERS angstrom
9.7297 0.0000 0.0000
0.0000 9.7297 0.0000
0.0000 0.0000 3.5848
ATOMIC_POSITIONS angstrom
Zr 1.6358 3.2290 0.0000
Zr 3.2290 8.0939 0.0000
Zr 6.5006 1.6358 0.0000
Zr 8.0939 6.5006 0.0000
Pa 0.0000 0.0000 0.0000
Pa 4.8648 4.8648 0.0000
Ga 1.2374 6.1022 0.0000
Ga 3.6275 1.2374 0.0000
Ga 6.1022 8.4923 0.0000
Ga 8.4923 3.6275 0.0000
Ru 0.0000 4.8648 1.7924
Ru 0.7025 7.7536 1.7924
Ru 1.9760 0.7025 1.7924
Ru 2.8888 5.5674 1.7924
Ru 4.1623 2.8888 1.7924
Ru 4.8648 0.0000 1.7924
Ru 5.5674 6.8409 1.7924
Ru 6.8409 4.1623 1.7924
Ru 7.7536 9.0271 1.7924
Ru 9.0271 1.9760 1.7924

=====

Entry 3:
! KLiAl PBE relaxed; values from VASP
! **Offset from the most stable computed form**: 0.64 kcal/mol of atoms
! **E_tot**: -26.718 eV per cell
! **Space group**: Cm, No. 8
&SYSTEM
  ibrav = 0, nat = 12, ntyp = 3
/
ATOMIC_SPECIES
K 39.10 K.upf
Li 6.94 Li.upf
Al 26.98 Al.upf
CELL_PARAMETERS angstrom
7.8571 0.0000 0.0000
0.0000 4.5297 0.0000
-0.0670 0.0000 11.7084
ATOMIC_POSITIONS angstrom
K 0.0000 0.0000 0.0000
K 1.3036 2.2649 7.6264
K 3.9285 2.2649 0.0000
K 5.2321 0.0000 7.6264
Li 1.3036 2.2649 3.9844
Li 2.6133 0.0000 2.6072
Li 5.2321 0.0000 3.9844
Li 6.5418 2.2649 2.6072
Al -0.0030 0.0000 4.6078
Al 2.6113 0.0000 5.2293
Al 3.9255 2.2649 4.6078
Al 6.5398 2.2649 5.2293

=====

Entry 4:
! PmSm3Y4 PBE relaxed; values from VASP
! **Offset from the most stable computed form**: 3.73 kcal/mol of atoms
! **E_tot**: -86.668 eV per cell
! **Space group**: Immm, No. 71
&SYSTEM
  ibrav = 0, nat = 16, ntyp = 3
/
ATOMIC_SPECIES
Pm 145.00 Pm.upf
Sm 150.36 Sm.upf
Y 88.91 Y.upf
CELL_PARAMETERS angstrom
3.4699 0.0000 0.0000
0.0000 6.7857 0.0000
0.0000 0.0000 22.9693
ATOMIC_POSITIONS angstrom
Pm 0.0000 0.0000 0.0000
Pm 1.7350 3.3929 11.4847
Sm 0.0000 0.0000 5.9747
Sm 0.0000 0.0000 11.4847
Sm 0.0000 0.0000 16.9946
Sm 1.7350 3.3929 0.0000
Sm 1.7350 3.3929 5.5099
Sm 1.7350 3.3929 17.4594
Y 0.0000 1.7303 2.8723
Y 0.0000 1.7303 20.0970
Y 0.0000 5.0554 2.8723
Y 0.0000 5.0554 20.0970
Y 1.7350 1.6625 8.6123
Y 1.7350 1.6625 14.3570
Y 1.7350 5.1232 8.6123
Y 1.7350 5.1232 14.3570

=====

Entry 5:
! Sr2BeMo PBE relaxed; values from VASP
! **E_tot**: -48.549 eV per cell
! **Space group**: I-42d, No. 122
&SYSTEM
  ibrav = 0, nat = 16, ntyp = 3
/
ATOMIC_SPECIES
Sr 87.62 Sr.upf
Be 9.01 Be.upf
Mo 95.94 Mo.upf
CELL_PARAMETERS angstrom
4.2813 0.0000 0.0000
0.0000 4.2813 0.0000
0.0000 0.0000 21.0883
ATOMIC_POSITIONS angstrom
Sr 1.0423 1.0703 2.6360
Sr 1.0703 3.1829 7.9081
Sr 1.0703 3.2391 18.4522
Sr 1.0984 1.0703 13.1802
Sr 3.1829 3.2110 13.1802
Sr 3.2110 1.0423 18.4522
Sr 3.2110 1.0984 7.9081
Sr 3.2391 3.2110 2.6360
Be 0.0000 0.0000 0.0000
Be 0.0000 2.1407 5.2721
Be 2.1407 0.0000 15.8162
Be 2.1407 2.1407 10.5441
Mo 0.0000 0.0000 10.5441
Mo 0.0000 2.1407 15.8162
Mo 2.1407 0.0000 5.2721
Mo 2.1407 2.1407 0.0000

=====

Entry 6:
! CuGeIrPt PBE relaxed; values from VASP
! **E_tot**: -96.346 eV per cell
! **Space group**: F-43m, No. 216
&SYSTEM
  ibrav = 0, nat = 16, ntyp = 4
/
ATOMIC_SPECIES
Cu 63.55 Cu.upf
Ge 72.64 Ge.upf
Ir 192.22 Ir.upf
Pt 195.08 Pt.upf
CELL_PARAMETERS angstrom
6.1091 0.0000 0.0000
0.0000 6.1091 0.0000
0.0000 0.0000 6.1091
ATOMIC_POSITIONS angstrom
Cu 0.0000 0.0000 0.0000
Cu 0.0000 3.0545 3.0545
Cu 3.0545 0.0000 3.0545
Cu 3.0545 3.0545 0.0000
Ge 0.0000 0.0000 3.0545
Ge 0.0000 3.0545 0.0000
Ge 3.0545 0.0000 0.0000
Ge 3.0545 3.0545 3.0545
Ir 1.5273 1.5273 4.5818
Ir 1.5273 4.5818 1.5273
Ir 4.5818 1.5273 1.5273
Ir 4.5818 4.5818 4.5818
Pt 1.5273 1.5273 1.5273
Pt 1.5273 4.5818 4.5818
Pt 4.5818 1.5273 4.5818
Pt 4.5818 4.5818 1.5273